1.
## K3CrH6O6 (PBE with a Hubbard U)

Data for K3CrH6O6 after structural relaxation.

```
K3CrH6O6
1.0
-4.304 -2.418 5.405
6.318 -0.929 3.579
-0.728 7.113 1.567
H Cr O K
12 2 12 6
Direct
0.082 0.120 0.331
0.918 0.880 0.669
0.582 0.831 0.620
0.418 0.169 0.380
0.669 0.918 0.880
0.380 0.418 0.169
0.831 0.620 0.582
0.880 0.669 0.918
0.169 0.380 0.418
0.331 0.082 0.120
0.620 0.582 0.831
0.120 0.331 0.082
0.500 0.500 0.500
0.000 0.000 0.000
0.903 0.736 0.042
0.736 0.042 0.903
0.236 0.403 0.542
0.458 0.764 0.597
0.764 0.597 0.458
0.597 0.458 0.764
0.403 0.542 0.236
0.264 0.958 0.097
0.097 0.264 0.958
0.042 0.903 0.736
0.958 0.097 0.264
0.542 0.236 0.403
0.129 0.750 0.371
0.250 0.629 0.871
0.371 0.129 0.750
0.871 0.250 0.629
0.750 0.371 0.129
0.629 0.871 0.250
```

Its total magnetization is 3.0 μB/f.u.


2.
## KCr3H6S2O14 (PBE with a Hubbard U)

Data for KCr3H6S2O14 after structural relaxation.

```
KCr3H6S2O14
1.0
-5.135 3.932 -3.237
-5.262 -3.414 -3.601
-6.681 -0.022 2.770
H Cr K O S
6 3 1 14 2
Direct
0.308 0.716 0.308
0.716 0.308 0.308
0.692 0.692 0.284
0.692 0.284 0.692
0.308 0.308 0.716
0.284 0.692 0.692
0.500 0.000 0.000
0.000 0.000 0.500
0.000 0.500 0.000
0.000 0.000 0.000
0.612 0.612 0.612
0.879 0.262 0.262
0.165 0.498 0.165
0.835 0.835 0.502
0.738 0.738 0.121
0.388 0.388 0.388
0.262 0.879 0.262
0.502 0.835 0.835
0.165 0.165 0.498
0.498 0.165 0.165
0.835 0.502 0.835
0.738 0.121 0.738
0.121 0.738 0.738
0.262 0.262 0.879
0.304 0.304 0.304
0.696 0.696 0.696
```

Its total magnetization is 9.0 μB/f.u.


3.
## K2ZnCr4H4O16 (PBE with a Hubbard U)

Data for K2ZnCr4H4O16 after structural relaxation.

```
K2ZnCr4H4O16
1.0
-6.758 -0.951 -0.648
3.488 -3.773 5.926
-0.149 6.601 4.808
O Cr K Zn H
16 4 2 1 4
Direct
0.769 0.059 0.337
0.176 0.287 0.571
0.717 0.339 0.477
0.368 0.148 0.028
0.030 0.217 0.084
0.138 0.502 0.801
0.445 0.440 0.246
0.862 0.498 0.199
0.231 0.941 0.663
0.970 0.783 0.916
0.794 0.951 0.686
0.283 0.661 0.523
0.555 0.560 0.754
0.824 0.713 0.429
0.206 0.049 0.314
0.632 0.852 0.972
0.277 0.499 0.659
0.258 0.207 0.165
0.723 0.501 0.341
0.742 0.793 0.835
0.692 0.246 0.818
0.308 0.754 0.182
0.000 0.000 0.500
0.250 0.838 0.610
0.750 0.162 0.390
0.160 0.884 0.763
0.840 0.116 0.237
```

Its total magnetization is 0.0 μB/f.u.


In eV/f.u., the raw total energy values for the records above are, in order, -82.79 -161.38 -161.15.
In states/eV/f.u., the density of states at the Fermi level values for the records above are, in order, 0.00 0.00 0.00.